5
Lattice="5.545 0.000 0.000 0.000 5.545 0.000 0.000 0.000 5.622" Properties=species:S:1:pos:R:3 comment="GGA-PBE BaLa2CdOs, optimized geometry" total_magnetization_mub_per_fu=0.0 sg="No. 123" e_above_lowest_polymorph_mev_per_atom=0 ef_ev_per_atom=-0.04 pbc="T T T"
Ba 0.000 0.000 0.000
La 0.000 2.772 2.811
La 2.772 0.000 2.811
Cd 2.772 2.772 0.000
Os 2.772 2.772 2.811

***

7
Lattice="2.635 1.521 9.876 -2.635 1.521 9.876 0.000 -3.042 9.876" Properties=species:S:1:pos:R:3 comment="GGA-PBE BaLa2Cd2Pb2, optimized geometry" total_magnetization_mub_per_fu=0.9 sg="No. 166" ef_ev_per_atom=-0.33 pbc="T T T"
Ba 0.000 0.000 0.000
La 0.000 0.000 4.030
La 0.000 0.000 25.597
Cd 0.000 0.000 12.828
Cd 0.000 0.000 16.800
Pb 0.000 0.000 7.674
Pb 0.000 0.000 21.954

***

4
Lattice="0.000 3.927 3.927 3.927 0.000 3.927 3.927 3.927 0.000" Properties=species:S:1:pos:R:3 comment="GGA-PBE BaLaCdPd, optimized geometry" total_magnetization_mub_per_fu=0.0 sg="No. 216" ef_ev_per_atom=-0.33 pbc="T T T"
Ba 0.000 0.000 0.000
La 3.927 3.927 3.927
Cd 1.963 1.963 1.963
Pd 5.890 5.890 5.890

***

5
Lattice="6.318 0.000 0.000 0.000 6.318 0.000 0.000 0.000 5.509" Properties=species:S:1:pos:R:3 comment="GGA-PBE Ba2LaCdPt, optimized geometry" total_magnetization_mub_per_fu=0.0 sg="No. 123" ef_ev_per_atom=-0.37 pbc="T T T"
Ba 0.000 3.159 0.000
Ba 3.159 0.000 0.000
La 0.000 0.000 2.755
Cd 3.159 3.159 2.755
Pt 0.000 0.000 0.000

***

5
Lattice="6.193 0.000 0.000 0.000 6.193 0.000 0.000 0.000 5.355" Properties=species:S:1:pos:R:3 comment="GGA-PBE Ba2LaCdRh, optimized geometry" total_magnetization_mub_per_fu=0.0 sg="No. 123" ef_ev_per_atom=-0.22 pbc="T T T"
Ba 0.000 3.096 0.000
Ba 3.096 0.000 0.000
La 0.000 0.000 2.677
Cd 3.096 3.096 2.677
Rh 0.000 0.000 0.000

***

5
Lattice="5.544 0.000 0.000 0.000 5.544 0.000 0.000 0.000 5.597" Properties=species:S:1:pos:R:3 comment="GGA-PBE BaLa2CdRh, optimized geometry" total_magnetization_mub_per_fu=0.0 sg="No. 123" e_above_lowest_polymorph_mev_per_atom=0 ef_ev_per_atom=-0.32 pbc="T T T"
Ba 0.000 0.000 0.000
La 0.000 2.772 2.798
La 2.772 0.000 2.798
Cd 2.772 2.772 0.000
Rh 2.772 2.772 2.798

***

5
Lattice="5.510 0.000 0.000 0.000 5.510 0.000 0.000 0.000 6.184" Properties=species:S:1:pos:R:3 comment="GGA-PBE BaLa2CdRh, optimized geometry" total_magnetization_mub_per_fu=0.0 sg="No. 123" e_above_lowest_polymorph_mev_per_atom=65 ef_ev_per_atom=-0.25 pbc="T T T"
Ba 0.000 0.000 0.000
La 0.000 2.755 3.092
La 2.755 0.000 3.092
Cd 2.755 2.755 0.000
Rh 0.000 0.000 3.092

***

5
Lattice="5.426 0.000 0.000 0.000 5.426 0.000 0.000 0.000 6.201" Properties=species:S:1:pos:R:3 comment="GGA-PBE BaLa2CdRu, optimized geometry" total_magnetization_mub_per_fu=0.0 sg="No. 123" e_above_lowest_polymorph_mev_per_atom=69 ef_ev_per_atom=-0.10 pbc="T T T"
Ba 0.000 0.000 0.000
La 0.000 2.713 3.100
La 2.713 0.000 3.100
Cd 2.713 2.713 0.000
Ru 0.000 0.000 3.100

***

5
Lattice="5.543 0.000 0.000 0.000 5.543 0.000 0.000 0.000 5.052" Properties=species:S:1:pos:R:3 comment="GGA-PBE BaLaCd2Ru, optimized geometry" total_magnetization_mub_per_fu=0.0 sg="No. 123" ef_ev_per_atom=-0.19 pbc="T T T"
Ba 0.000 0.000 0.000
La 2.772 2.772 0.000
Cd 0.000 2.772 2.526
Cd 2.772 0.000 2.526
Ru 2.772 2.772 2.526

***

5
Lattice="5.436 0.000 0.000 0.000 5.436 0.000 0.000 0.000 5.715" Properties=species:S:1:pos:R:3 comment="GGA-PBE BaLa2CdRu, optimized geometry" total_magnetization_mub_per_fu=0.0 sg="No. 123" e_above_lowest_polymorph_mev_per_atom=0 ef_ev_per_atom=-0.17 pbc="T T T"
Ba 0.000 0.000 0.000
La 0.000 2.718 2.857
La 2.718 0.000 2.857
Cd 2.718 2.718 0.000
Ru 2.718 2.718 2.857

***

18
Lattice="2.176 -8.895 0.000 2.176 8.895 0.000 0.000 0.000 13.134" Properties=species:S:1:pos:R:3 comment="GGA-PBE Ba2LaCdS5, optimized geometry" total_magnetization_mub_per_fu=1.0 sg="No. 36" e_form_raw_ev_per_atom=-1.5937 pbc="T T T"
Ba 2.176 6.723 6.567
Ba 2.176 6.696 11.533
Ba 2.176 -6.696 4.966
Ba 2.176 -6.723 0.000
La 2.176 5.425 2.678
La 2.176 -5.425 9.245
Cd 2.176 0.074 8.985
Cd 2.176 -0.074 2.417
S 2.176 8.181 3.554
S 2.176 3.556 11.149
S 2.176 3.127 7.270
S 2.176 2.593 2.467
S 2.176 0.349 6.440
S 2.176 -0.349 13.007
S 2.176 -2.593 9.035
S 2.176 -3.127 0.703
S 2.176 -3.556 4.582
S 2.176 -8.181 10.121

***

5
Lattice="6.262 0.000 0.000 0.000 6.262 0.000 0.000 0.000 5.722" Properties=species:S:1:pos:R:3 comment="GGA-PBE Ba2LaCdSe, optimized geometry" total_magnetization_mub_per_fu=0.0 sg="No. 123" e_form_raw_ev_per_atom=-0.6030 pbc="T T T"
Ba 0.000 3.131 0.000
Ba 3.131 0.000 0.000
La 0.000 0.000 2.861
Cd 3.131 3.131 2.861
Se 0.000 0.000 0.000